Hf7Sn2Te2 | PBE-GGA | relaxed

Calculated values
Formation energy from raw total energies   -130 meV per atom

Unit cell a=6.379 b=6.379 c=7.537 alpha=99.27 beta=99.27 gamma=111.03
Sites, in units of the cell vectors:
Hf: 0.000 0.000 0.000
Hf: 0.085 0.570 0.828
Hf: 0.400 0.400 0.147
Hf: 0.430 0.915 0.172
Hf: 0.570 0.085 0.828
Hf: 0.600 0.600 0.853
Hf: 0.915 0.430 0.172
Sn: 0.341 0.659 0.500
Sn: 0.659 0.341 0.500
Te: 0.169 0.169 0.705
Te: 0.831 0.831 0.295

***

AcTbSm2S4 | PBE-GGA | relaxed

Calculated values
Formation energy from raw total energies   -1983 meV per atom

Unit cell a=7.021 b=4.024 c=7.132 alpha=90.00 beta=108.96 gamma=90.00
Sites, in units of the cell vectors:
Ac: 0.000 0.000 0.000
Tb: 0.000 0.500 0.500
Sm: 0.500 0.000 0.500
Sm: 0.500 0.500 0.000
S: 0.250 0.000 0.737
S: 0.261 0.500 0.267
S: 0.739 0.500 0.733
S: 0.750 0.000 0.263

***

La2Tb6Pm3 | PBE-GGA | relaxed

Calculated values
Energy relative to the lowest polymorph listed for this composition   0 meV per atom
Calculated formation energy   0.179 eV per atom

Unit cell a=6.213 b=6.213 c=11.853 alpha=95.03 beta=95.03 gamma=120.11
Sites, in units of the cell vectors:
La: 0.167 0.833 0.000
La: 0.833 0.167 0.000
Tb: 0.083 0.416 0.748
Tb: 0.251 0.251 0.253
Tb: 0.416 0.083 0.748
Tb: 0.584 0.917 0.252
Tb: 0.749 0.749 0.747
Tb: 0.917 0.584 0.252
Pm: 0.000 0.000 0.500
Pm: 0.336 0.664 0.500
Pm: 0.664 0.336 0.500

***

Mg2Zn2Cr | PBE-GGA | relaxed

Calculated values
Energy relative to the lowest polymorph listed for this composition   261 meV per atom
Calculated formation energy   0.645 eV per atom

Unit cell a=6.622 b=6.622 c=6.622 alpha=146.65 beta=146.65 gamma=47.88
Sites, in units of the cell vectors:
Mg: 0.250 0.750 0.500
Mg: 0.750 0.250 0.500
Zn: 0.094 0.094 0.000
Zn: 0.906 0.906 0.000
Cr: 0.500 0.500 0.000

***

Pm2Ag2Pt | PBE-GGA | relaxed

Calculated values
Energy relative to the lowest polymorph listed for this composition   0 meV per atom
Calculated formation energy   -0.576 eV per atom

Unit cell a=4.620 b=4.620 c=7.163 alpha=108.91 beta=108.91 gamma=60.12
Sites, in units of the cell vectors:
Pm: 0.097 0.097 0.292
Pm: 0.903 0.903 0.708
Ag: 0.345 0.345 0.037
Ag: 0.655 0.655 0.963
Pt: 0.500 0.500 0.500

***

Ce3Cd4Au2 | PBE-GGA | relaxed

Calculated values
Calculated formation energy   -0.420 eV per atom

Unit cell a=6.012 b=6.012 c=9.271 alpha=119.42 beta=119.42 gamma=49.31
Sites, in units of the cell vectors:
Ce: 0.000 0.000 0.000
Ce: 0.330 0.330 0.339
Ce: 0.670 0.670 0.661
Cd: 0.054 0.054 0.386
Cd: 0.284 0.284 0.949
Cd: 0.716 0.716 0.051
Cd: 0.946 0.946 0.614
Au: 0.392 0.392 0.724
Au: 0.608 0.608 0.276

***

BaZrH2N | PBE-GGA | relaxed

Calculated values
DFT total energy   -4.53 eV/atom

Unit cell a=3.845 b=3.845 c=7.737 alpha=90.00 beta=90.00 gamma=90.00
Sites, in units of the cell vectors:
Ba: 0.000 0.000 0.000
Zr: 0.000 0.000 0.500
H: 0.000 0.500 0.500
H: 0.500 0.000 0.500
N: 0.500 0.500 0.000

***

PaNbRh3 | PBE-GGA | relaxed

Calculated values
Calculated formation energy   -0.381 eV per atom

Unit cell a=7.259 b=7.259 c=5.152 alpha=90.00 beta=90.00 gamma=136.69
Sites, in units of the cell vectors:
Pa: 0.192 0.808 0.750
Pa: 0.808 0.192 0.250
Nb: 0.466 0.534 0.250
Nb: 0.534 0.466 0.750
Rh: 0.000 0.000 0.000
Rh: 0.000 0.000 0.500
Rh: 0.109 0.397 0.750
Rh: 0.397 0.109 0.250
Rh: 0.603 0.891 0.750
Rh: 0.891 0.603 0.250

***

LiZnGaBi2 | PBE-GGA | relaxed

Calculated values
Calculated formation energy   0.254 eV per atom

Unit cell a=5.213 b=5.213 c=4.705 alpha=90.00 beta=90.00 gamma=90.00
Sites, in units of the cell vectors:
Li: 0.000 0.000 0.000
Zn: 0.000 0.000 0.500
Ga: 0.500 0.500 0.500
Bi: 0.000 0.500 0.000
Bi: 0.500 0.000 0.000

***

Y3InP | PBE-GGA | relaxed

Calculated values
Energy relative to the lowest polymorph listed for this composition   0 meV per atom
Calculated formation energy   -0.881 eV per atom

Unit cell a=8.975 b=4.003 c=15.114 alpha=90.00 beta=90.00 gamma=90.00
Sites, in units of the cell vectors:
Y: 0.028 0.250 0.110
Y: 0.164 0.250 0.511
Y: 0.198 0.750 0.288
Y: 0.302 0.250 0.788
Y: 0.336 0.750 0.011
Y: 0.472 0.750 0.610
Y: 0.528 0.250 0.390
Y: 0.664 0.250 0.989
Y: 0.698 0.750 0.212
Y: 0.802 0.250 0.712
Y: 0.836 0.750 0.489
Y: 0.972 0.750 0.890
In: 0.085 0.750 0.674
In: 0.415 0.250 0.174
In: 0.585 0.750 0.826
In: 0.915 0.250 0.326
P: 0.162 0.250 0.945
P: 0.338 0.750 0.445
P: 0.662 0.250 0.555
P: 0.838 0.750 0.055

***

LiMg3Co | PBE-GGA | relaxed

Calculated values
Energy relative to the lowest polymorph listed for this composition   149 meV per atom
Calculated formation energy   0.221 eV per atom

Unit cell a=4.836 b=4.836 c=4.836 alpha=90.00 beta=90.00 gamma=90.00
Sites, in units of the cell vectors:
Li: 0.000 0.000 0.000
Mg: 0.000 0.500 0.500
Mg: 0.500 0.000 0.500
Mg: 0.500 0.500 0.000
Co: 0.500 0.500 0.500

***

Ce2As3 | PBE-GGA | relaxed

Calculated values
Calculated formation energy   -1.022 eV per atom

Unit cell a=7.984 b=7.984 c=7.984 alpha=150.87 beta=150.87 gamma=41.66
Sites, in units of the cell vectors:
Ce: 0.122 0.122 0.000
Ce: 0.878 0.878 0.000
As: 0.323 0.323 0.000
As: 0.500 0.500 0.000
As: 0.677 0.677 0.000

***

Yb2Ge4Ru3 | PBE-GGA | relaxed

Calculated values
Calculated formation energy   -0.556 eV per atom

Unit cell a=10.494 b=10.494 c=14.110 alpha=127.12 beta=127.12 gamma=30.79
Sites, in units of the cell vectors:
Yb: 0.063 0.800 0.857
Yb: 0.200 0.937 0.643
Yb: 0.214 0.461 0.143
Yb: 0.461 0.214 0.643
Yb: 0.539 0.786 0.357
Yb: 0.786 0.539 0.857
Yb: 0.800 0.063 0.357
Yb: 0.937 0.200 0.143
Ge: 0.063 0.600 0.935
Ge: 0.112 0.361 0.398
Ge: 0.120 0.880 0.250
Ge: 0.245 0.535 0.399
Ge: 0.361 0.112 0.898
Ge: 0.371 0.629 0.750
Ge: 0.400 0.937 0.565
Ge: 0.465 0.755 0.101
Ge: 0.535 0.245 0.899
Ge: 0.600 0.063 0.435
Ge: 0.629 0.371 0.250
Ge: 0.639 0.888 0.102
Ge: 0.755 0.465 0.601
Ge: 0.880 0.120 0.750
Ge: 0.888 0.639 0.602
Ge: 0.937 0.400 0.065
Ru: 0.010 0.740 0.563
Ru: 0.133 0.349 0.723
Ru: 0.260 0.990 0.937
Ru: 0.349 0.133 0.223
Ru: 0.361 0.602 0.088
Ru: 0.398 0.639 0.412
Ru: 0.602 0.361 0.588
Ru: 0.639 0.398 0.912
Ru: 0.651 0.867 0.777
Ru: 0.740 0.010 0.063
Ru: 0.867 0.651 0.277
Ru: 0.990 0.260 0.437

***

LaTi2Zn2 | PBE-GGA | relaxed

Calculated values
Energy relative to the lowest polymorph listed for this composition   27 meV per atom
Calculated formation energy   -0.017 eV per atom

Unit cell a=6.954 b=6.954 c=6.954 alpha=145.69 beta=145.69 gamma=49.31
Sites, in units of the cell vectors:
La: 0.000 0.000 0.000
Ti: 0.250 0.750 0.500
Ti: 0.750 0.250 0.500
Zn: 0.393 0.393 0.000
Zn: 0.607 0.607 0.000

***

HfPa2 | PBE-GGA | relaxed

Calculated values
Energy relative to the lowest polymorph listed for this composition   317 meV per atom
Calculated formation energy   0.347 eV per atom

Unit cell a=5.941 b=5.941 c=5.941 alpha=60.00 beta=60.00 gamma=60.00
Sites, in units of the cell vectors:
Hf: 0.125 0.125 0.125
Hf: 0.875 0.875 0.875
Pa: 0.000 0.500 0.500
Pa: 0.500 0.000 0.500
Pa: 0.500 0.500 0.000
Pa: 0.500 0.500 0.500

***

AcTe2Se | PBE-GGA | relaxed

Calculated values
Formation energy from raw total energies   -832 meV per atom
Energy relative to the lowest polymorph listed for this composition   422 meV per atom

Unit cell a=4.512 b=4.512 c=6.234 alpha=90.00 beta=90.00 gamma=90.00
Sites, in units of the cell vectors:
Ac: 0.000 0.000 0.000
Te: 0.500 0.500 0.246
Te: 0.500 0.500 0.754
Se: 0.000 0.000 0.500

***

BaHfSb3 | PBE-GGA | relaxed

Calculated values
Formation energy from raw total energies   -439 meV per atom
Energy relative to the lowest polymorph listed for this composition   0 meV per atom

Unit cell a=5.586 b=5.586 c=5.586 alpha=90.00 beta=90.00 gamma=90.00
Sites, in units of the cell vectors:
Ba: 0.000 0.000 0.000
Hf: 0.500 0.500 0.500
Sb: 0.000 0.500 0.500
Sb: 0.500 0.000 0.500
Sb: 0.500 0.500 0.000

***

BaTm2Tl3 | PBE-GGA | relaxed

Calculated values
Energy relative to the lowest polymorph listed for this composition   84 meV per atom
Calculated formation energy   -0.244 eV per atom

Unit cell a=7.754 b=7.754 c=7.034 alpha=90.00 beta=90.00 gamma=74.44
Sites, in units of the cell vectors:
Ba: 0.162 0.838 0.750
Ba: 0.838 0.162 0.250
Tm: 0.294 0.294 0.000
Tm: 0.294 0.294 0.500
Tm: 0.706 0.706 0.000
Tm: 0.706 0.706 0.500
Tl: 0.040 0.611 0.250
Tl: 0.389 0.960 0.250
Tl: 0.454 0.546 0.250
Tl: 0.546 0.454 0.750
Tl: 0.611 0.040 0.750
Tl: 0.960 0.389 0.750

***

YHoGaPb | PBE-GGA | relaxed

Calculated values
Calculated formation energy   -0.433 eV per atom

Unit cell a=5.268 b=5.268 c=5.268 alpha=60.00 beta=60.00 gamma=60.00
Sites, in units of the cell vectors:
Y: 0.000 0.000 0.000
Ho: 0.500 0.500 0.500
Ga: 0.250 0.250 0.250
Pb: 0.750 0.750 0.750

***

Cs5TiTe5 | PBE-GGA | relaxed

Calculated values
Formation energy from raw total energies   -737 meV per atom

Unit cell a=9.207 b=9.207 c=10.015 alpha=109.18 beta=109.18 gamma=45.57
Sites, in units of the cell vectors:
Cs: 0.000 0.000 0.000
Cs: 0.299 0.299 0.202
Cs: 0.340 0.340 0.676
Cs: 0.660 0.660 0.324
Cs: 0.701 0.701 0.798
Ti: 0.000 0.000 0.500
Te: 0.123 0.123 0.385
Te: 0.127 0.127 0.768
Te: 0.500 0.500 0.500
Te: 0.873 0.873 0.232
Te: 0.877 0.877 0.615

***

Calculated size of the total moment, 0.000 0.000 0.000 0.095 0.000 3.330 2.621 0.000 0.000 0.475 0.000 0.818 0.429 2.631 0.000 0.000 0.000 0.000 0.000 0.092 μB/f.u. (same order as the records).